[1]
Here is an optimized crystal structure of KZnTe2 from Alexandria. Energies are from PBE-GGA.

Computed properties:
VASP energy = -2.6461 eV/atom
Space-group type = Cm (8)

a = 7.373 Å, b = 7.373 Å, c = 6.234 Å
α = 100.46°, β = 100.46°, γ = 28.96°
Sites, in units of the cell vectors:
Zn 0.557 0.557 0.438
K 0.252 0.252 0.196
Te 0.719 0.719 0.684
Te 0.972 0.972 0.182

=====

[2]
Here is an optimized crystal structure of Ca2MgCd3Ag12 from Alexandria. Energies are from PBE-GGA.

Computed properties:
Energy of formation = -0.046 eV/atom
Space-group type = R-3m (166)

a = 7.290 Å, b = 7.290 Å, c = 7.290 Å
α = 83.01°, β = 83.01°, γ = 83.01°
Sites, in units of the cell vectors:
Ca 0.702 0.702 0.702
Ca 0.298 0.298 0.298
Ag 0.414 0.414 0.872
Ag 0.717 0.198 0.198
Ag 0.283 0.802 0.802
Ag 0.802 0.802 0.283
Ag 0.802 0.283 0.802
Ag 0.198 0.717 0.198
Ag 0.128 0.586 0.586
Ag 0.586 0.128 0.586
Ag 0.872 0.414 0.414
Ag 0.586 0.586 0.128
Ag 0.198 0.198 0.717
Ag 0.414 0.872 0.414
Cd 0.500 0.000 0.000
Cd 0.000 0.000 0.500
Cd 0.000 0.500 0.000
Mg 0.000 0.000 0.000

=====

[3]
Here is an optimized crystal structure of Ta3MnPd from Alexandria. Energies are from PBE-GGA.

Computed properties:
Energy of formation = 0.736 eV/atom
Space-group type = Pm-3m (221)

a = 4.557 Å, b = 4.557 Å, c = 4.557 Å
α = 90.00°, β = 90.00°, γ = 90.00°
Sites, in units of the cell vectors:
Ta 0.000 0.500 0.000
Ta 0.500 0.000 0.000
Ta 0.000 0.000 0.500
Mn 0.000 0.000 0.000
Pd 0.500 0.500 0.500

=====

[4]
Here is an optimized crystal structure of Y4NiOs from Alexandria. Energies are from PBE-GGA.

Computed properties:
Energy of formation = 1.042 eV/atom
Space-group type = F-43m (216)

a = 5.877 Å, b = 5.877 Å, c = 5.877 Å
α = 60.00°, β = 60.00°, γ = 60.00°
Sites, in units of the cell vectors:
Y 0.374 0.374 0.877
Y 0.374 0.374 0.374
Y 0.374 0.877 0.374
Y 0.877 0.374 0.374
Os 0.000 0.000 0.000
Ni 0.750 0.750 0.750

=====

[5]
Here is an optimized crystal structure of AcIn3Ga from Alexandria. Energies are from PBE-GGA.

Computed properties:
Energy of formation = -0.256 eV/atom
Space-group type = Pnma (62)

a = 4.474 Å, b = 9.863 Å, c = 12.758 Å
α = 90.00°, β = 90.00°, γ = 90.00°
Sites, in units of the cell vectors:
In 0.250 0.433 0.701
In 0.250 0.933 0.799
In 0.250 0.819 0.211
In 0.750 0.067 0.201
In 0.250 0.549 0.087
In 0.750 0.451 0.913
In 0.750 0.951 0.587
In 0.750 0.181 0.789
In 0.250 0.319 0.289
In 0.750 0.567 0.299
In 0.750 0.681 0.711
In 0.250 0.049 0.413
Ac 0.750 0.310 0.507
Ac 0.750 0.810 0.993
Ac 0.250 0.190 0.007
Ac 0.250 0.690 0.493
Ga 0.750 0.360 0.142
Ga 0.250 0.140 0.642
Ga 0.250 0.640 0.858
Ga 0.750 0.860 0.358

=====

[6]
Here is an optimized crystal structure of RbZnTe from Alexandria. Energies are from PBE-GGA.

Computed properties:
VASP energy = -2.4218 eV/atom
Space-group type = Immm (71)

a = 5.466 Å, b = 5.295 Å, c = 9.390 Å
α = 106.38°, β = 106.92°, γ = 90.00°
Sites, in units of the cell vectors:
Zn 0.277 0.500 0.000
Zn 0.723 0.500 0.000
Rb 0.653 0.153 0.307
Rb 0.347 0.847 0.693
Te 0.129 0.629 0.258
Te 0.871 0.371 0.742

=====

[7]
Here is an optimized crystal structure of ReB3Cl from Alexandria. Energies are from PBE-GGA.

Computed properties:
VASP energy = -4.4205 eV/atom
Space-group type = Pm-3m (221)

a = 3.778 Å, b = 3.778 Å, c = 3.778 Å
α = 90.00°, β = 90.00°, γ = 90.00°
Sites, in units of the cell vectors:
B 0.000 0.500 0.000
B 0.500 0.000 0.000
B 0.000 0.000 0.500
Cl 0.000 0.000 0.000
Re 0.500 0.500 0.500

=====

[8]
Here is an optimized crystal structure of Ba2DyAs2I2 from Alexandria. Energies are from PBE-GGA.

Computed properties:
VASP energy = -4.3340 eV/atom
Space-group type = I4/mmm (139)

a = 5.478 Å, b = 5.478 Å, c = 9.799 Å
α = 106.23°, β = 106.23°, γ = 90.00°
Sites, in units of the cell vectors:
I 0.181 0.181 0.363
I 0.819 0.819 0.637
As 0.500 0.000 0.000
As 0.000 0.500 0.000
Dy 0.000 0.000 0.000
Ba 0.382 0.382 0.764
Ba 0.618 0.618 0.236

=====

[9]
Here is an optimized crystal structure of CsKSn from Alexandria. Energies are from PBE-GGA.

Computed properties:
Energy of formation = -0.089 eV/atom
Space-group type = Fmm2 (42)

a = 6.466 Å, b = 6.465 Å, c = 9.706 Å
α = 109.43°, β = 109.42°, γ = 90.01°
Sites, in units of the cell vectors:
Sn 0.436 0.689 0.721
Sn 0.606 0.858 0.060
K 0.520 0.273 0.890
K 0.021 0.773 0.890
Cs 0.213 0.466 0.277
Cs 0.826 0.079 0.504

=====

[10]
Here is an optimized crystal structure of Sm8RuRh3I4 from Alexandria. Energies are from PBE-GGA.

Computed properties:
VASP energy = -5.5779 eV/atom
Space-group type = C2/m (12)

a = 8.245 Å, b = 9.387 Å, c = 8.252 Å
α = 116.15°, β = 119.97°, γ = 90.00°
Sites, in units of the cell vectors:
Sm 0.226 0.685 0.452
Sm 0.267 0.315 0.041
Sm 0.733 0.685 0.959
Sm 0.226 0.685 0.959
Sm 0.272 0.317 0.545
Sm 0.774 0.315 0.548
Sm 0.728 0.683 0.455
Sm 0.774 0.315 0.041
Ru 0.000 0.500 0.000
I 0.000 0.000 0.500
I 0.500 0.000 0.500
I 0.500 0.000 0.000
I 0.000 0.000 0.000
Rh 0.000 0.500 0.500
Rh 0.500 0.500 0.500
Rh 0.500 0.500 0.000

=====

[11]
Here is an optimized crystal structure of CaZn2Au from Alexandria. Energies are from PBE-GGA.

Computed properties:
Energy of formation = -0.314 eV/atom
Space-group type = Pmm2 (25)

a = 3.506 Å, b = 3.533 Å, c = 6.534 Å
α = 90.00°, β = 90.00°, γ = 90.00°
Sites, in units of the cell vectors:
Zn 0.500 0.500 0.245
Zn 0.000 0.000 0.048
Au 0.000 0.000 0.464
Ca 0.500 0.500 0.743

=====

[12]
Here is an optimized crystal structure of NaGaPC from Alexandria. Energies are from PBE-GGA.

Computed properties:
Energy of formation = 0.192 eV/atom
Space-group type = R3m (160)

a = 2.976 Å, b = 2.976 Å, c = 23.305 Å
α = 90.00°, β = 90.00°, γ = 120.00°
Sites, in units of the cell vectors:
Ga 0.000 0.000 0.231
Ga 0.667 0.333 0.565
Ga 0.333 0.667 0.898
Na 0.333 0.667 0.456
Na 0.000 0.000 0.790
Na 0.667 0.333 0.123
P 0.333 0.667 0.006
P 0.667 0.333 0.672
P 0.000 0.000 0.339
C 0.000 0.000 0.037
C 0.667 0.333 0.370
C 0.333 0.667 0.703

=====

| no. | magnetic moment (μB per cell) |
| --- | --- |
| 1 | 0.0 |
| 2 | 0.0 |
| 3 | 0.0 |
| 4 | 0.0 |
| 5 | 0.0 |
| 6 | 0.0 |
| 7 | 0.0 |
| 8 | 0.0 |
| 9 | 0.0 |
| 10 | 0.0 |
| 11 | 0.0 |
| 12 | 0.0 |